Computed, not measured: Sr12As3H5 after structural relaxation at the PBE level of DFT.

Output
total DFT energy (no corrections) = -3.044 eV per atom
total magnetization = 0.00 μB per formula unit

Cell lengths 14.6359, 14.6359, 14.6359 Å; angles 109.47, 109.47, 109.47 degrees
With the nearest neighbours (Å) after each atom.
Fractional positions:
Sr1 0.1912 0.0978 0.9756  1 H 2.41
Sr2 0.1912 0.0934 0.7156  1 H 2.41
H1 0.0000 0.5000 0.5000  6 Sr 2.89
H2 0.5000 0.5000 0.0000  6 Sr 2.89
Sr3 0.0978 0.1912 0.4756  1 H 2.41
Sr4 0.2156 0.5244 0.6222  1 H 2.41
Sr5 0.9066 0.8088 0.7844  1 H 2.41
H3 0.1250 0.3750 0.2500  4 Sr 2.41
Sr6 0.7844 0.3088 0.9066  1 H 2.41
Sr7 0.6912 0.4756 0.5978  1 H 2.41
Sr8 0.3088 0.7844 0.4066  1 H 2.41
As1 0.1250 0.8750 0.7500  8 Sr 3.28-3.33
H4 0.5000 0.0000 0.0000  6 Sr 2.89
As2 0.3750 0.6250 0.2500  8 Sr 3.28-3.33
As3 0.2500 0.1250 0.3750  8 Sr 3.28-3.33
Sr9 0.0244 0.4022 0.8088  1 H 2.41
Sr10 0.7156 0.1222 0.0244  1 H 2.41
Sr11 0.8088 0.9022 0.0244  1 H 2.41
H5 0.5000 0.5000 0.5000  6 Sr 2.89
As4 0.2500 0.6250 0.8750  8 Sr 3.28-3.33
H6 0.0000 0.0000 0.5000  6 Sr 2.89
Sr12 0.8778 0.2844 0.4756  1 H 2.41
Sr13 0.5934 0.7156 0.6912  1 H 2.41
Sr14 0.8088 0.9066 0.2844  1 H 2.41
Sr15 0.8778 0.5934 0.9022  1 H 2.41
Sr16 0.4066 0.2844 0.3088  1 H 2.41
Sr17 0.5244 0.2156 0.1222  1 H 2.41
H7 0.7500 0.6250 0.3750  4 Sr 2.41
Sr18 0.0244 0.6222 0.7156  1 H 2.41
Sr19 0.5244 0.3088 0.9022  1 H 2.41
H8 0.8750 0.2500 0.6250  4 Sr 2.41
Sr20 0.2844 0.8778 0.9756  1 H 2.41
Sr21 0.1222 0.4066 0.0978  1 H 2.41
Sr22 0.9756 0.5978 0.1912  1 H 2.41
H9 0.3750 0.2500 0.1250  4 Sr 2.41
As5 0.6250 0.2500 0.3750  8 Sr 3.28-3.33
Sr23 0.9022 0.8088 0.5244  1 H 2.41
Sr24 0.4022 0.3778 0.5934  1 H 2.41
H10 0.0000 0.5000 0.0000  6 Sr 2.89
Sr25 0.7156 0.5934 0.1912  1 H 2.41
H11 0.5000 0.0000 0.5000  6 Sr 2.89
Sr26 0.4066 0.1222 0.5978  1 H 2.41
Sr27 0.7844 0.4756 0.3778  1 H 2.41
H12 0.1250 0.7500 0.3750  4 Sr 2.41
Sr28 0.0934 0.9022 0.3778  1 H 2.41
Sr29 0.4022 0.0244 0.3088  1 H 2.41
H13 0.8750 0.6250 0.7500  4 Sr 2.41
Sr30 0.5978 0.6222 0.4066  1 H 2.41
H14 0.7500 0.1250 0.8750  4 Sr 2.41
Sr31 0.5934 0.8778 0.4022  1 H 2.41
Sr32 0.5978 0.9756 0.6912  1 H 2.41
As6 0.8750 0.1250 0.2500  8 Sr 3.28-3.33
Sr33 0.9756 0.3778 0.2844  1 H 2.41
As7 0.6250 0.3750 0.7500  8 Sr 3.28-3.33
H15 0.6250 0.7500 0.8750  4 Sr 2.41
H16 0.2500 0.8750 0.1250  4 Sr 2.41
As8 0.8750 0.7500 0.1250  8 Sr 3.28-3.33
Sr34 0.3088 0.5244 0.4022  1 H 2.41
Sr35 0.4756 0.6912 0.0978  1 H 2.41
H17 0.6250 0.8750 0.2500  4 Sr 2.41
Sr36 0.2844 0.4066 0.8088  1 H 2.41
H18 0.0000 0.0000 0.0000  6 Sr 2.89
Sr37 0.1222 0.7156 0.5244  1 H 2.41
As9 0.7500 0.3750 0.1250  8 Sr 3.28-3.33
Sr38 0.6912 0.2156 0.5934  1 H 2.41
Sr39 0.6222 0.0244 0.2156  1 H 2.41
As10 0.1250 0.2500 0.8750  8 Sr 3.28-3.33
Sr40 0.9022 0.0934 0.8778  1 H 2.41
Sr41 0.6222 0.5978 0.9066  1 H 2.41
H19 0.3750 0.1250 0.7500  4 Sr 2.41
H20 0.2500 0.3750 0.6250  4 Sr 2.41
Sr42 0.0978 0.9066 0.1222  1 H 2.41
As11 0.3750 0.7500 0.6250  8 Sr 3.28-3.33
Sr43 0.9066 0.0978 0.6222  1 H 2.41
Sr44 0.2156 0.6912 0.0934  1 H 2.41
Sr45 0.3778 0.4022 0.0934  1 H 2.41
Sr46 0.4756 0.7844 0.8778  1 H 2.41
As12 0.7500 0.8750 0.6250  8 Sr 3.28-3.33
Sr47 0.3778 0.9756 0.7844  1 H 2.41
Sr48 0.0934 0.1912 0.2156  1 H 2.41